# 1
The following is a GGA-PBE calculation of an optimized crystal structure of SiTc2Hg, from Alexandria via LeMat-Bulk.

Results
**Energy above the lowest structure with this stoichiometry**: 3.82 kcal/mol of atoms
**Formation energy without anion corrections**: 211 meV per atom
**SG**: P2/m (10)

Cell: 3.7395 2.9885 6.0471 Å, 71.61 90.00 90.00°
With the nearest neighbours (Å) after each atom.
Atoms (fractional coordinates):
Hg 0.5000 0.2500 0.2500  8 Tc 2.92-2.97, 2 Si 2.92, 2 Hg 2.99
Si 0.5000 0.7500 0.7500  4 Tc 2.38
Tc 0.0000 0.9247 0.9521  2 Si 2.38, 1 Tc 2.60
Tc 0.0000 0.5753 0.5479  2 Si 2.38, 1 Tc 2.60

=====

# 2
The following is a GGA-PBE calculation of an optimized crystal structure of Pd2SeBr, from Alexandria via LeMat-Bulk.

Results
**Energy above the lowest structure with this stoichiometry**: 3.85 kcal/mol of atoms
**Formation energy without anion corrections**: -60 meV per atom
**SG**: I-42d (122)

Cell: 6.3673 6.3673 6.5437 Å, 60.89 60.89 90.00°
With the nearest neighbours (Å) after each atom.
Atoms (fractional coordinates):
Se 0.5000 0.5000 0.0000  4 Pd 2.41
Se 0.2500 0.7500 0.5000  4 Pd 2.41
Br 0.0000 0.0000 0.0000  4 Pd 2.70
Br 0.7500 0.2500 0.5000  4 Pd 2.70
Pd 0.5885 0.1250 0.2500  2 Se 2.41
Pd 0.1615 0.6250 0.2500  2 Se 2.41
Pd 0.3750 0.4115 0.7500  2 Se 2.41
Pd 0.8750 0.8385 0.7500  2 Se 2.41

=====

# 3
The following is a GGA-PBE calculation of an optimized crystal structure of AgC2, from Alexandria via LeMat-Bulk.

Results
**Energy above the lowest structure with this stoichiometry**: 62.22 kcal/mol of atoms
**Formation enthalpy at 0 K**: 3031 meV per atom
**SG**: Fm-3m (225)

Cell: 3.6869 3.6869 3.6869 Å, 60.00 60.00 60.00°
With the nearest neighbours (Å) after each atom.
Atoms (fractional coordinates):
C 0.2500 0.2500 0.2500  4 Ag 2.26
C 0.7500 0.7500 0.7500  4 Ag 2.26
Ag 0.0000 0.0000 0.0000  8 C 2.26

=====

# 4
The following is a GGA-PBE calculation of an optimized crystal structure of Li2AgHg, from Alexandria via LeMat-Bulk.

Results
**Formation enthalpy at 0 K**: -170 meV per atom
**SG**: R3m (160)

Cell: 3.1050 3.1050 9.0380 Å, 80.11 80.11 60.00°
With the nearest neighbours (Å) after each atom.
Atoms (fractional coordinates):
Li 0.0855 0.0855 0.7434  3 Ag 2.81, 3 Hg 2.90, 6 Li 3.10
Li 0.2479 0.2479 0.2563  3 Ag 2.80, 3 Hg 2.89, 6 Li 3.10
Ag 0.5003 0.5003 0.4991  6 Li 2.80-2.81, 6 Ag 3.10
Hg 0.6663 0.6663 0.0011  6 Li 2.89-2.90, 6 Hg 3.10